(1)
A relaxed AcPr2Ge crystal, computed with PBE-GGA.

Results
Magnetization: 0.00 μB per formula unit
Energy relative to the elements: -0.297 eV/atom
Space-group type: R3m, No. 160
Fermi-level density of states: 1.129 states/eV/atom

```
data_AcPr2Ge
_symmetry_space_group_name_H-M 'P 1'
_symmetry_Int_Tables_number 1
_cell_length_a 4.211
_cell_length_b 4.211
_cell_length_c 28.650
_cell_angle_alpha 90.00
_cell_angle_beta 90.00
_cell_angle_gamma 120.00
loop_
_symmetry_equiv_pos_as_xyz
'x,y,z'
loop_
_atom_site_label
_atom_site_fract_x
_atom_site_fract_y
_atom_site_fract_z
_atom_site_occupancy
Ac1 0.000 0.000 0.000 1
Ac2 0.333 0.667 0.667 1
Ac3 0.667 0.333 0.333 1
Pr1 0.000 0.000 0.557 1
Pr2 0.000 0.000 0.773 1
Pr3 0.333 0.667 0.224 1
Pr4 0.333 0.667 0.439 1
Pr5 0.667 0.333 0.106 1
Pr6 0.667 0.333 0.891 1
Ge1 0.000 0.000 0.164 1
Ge2 0.333 0.667 0.831 1
Ge3 0.667 0.333 0.498 1
```


(2)
A relaxed AcPrGe2 crystal, computed with PBE-GGA.

Results
Magnetization: 0.00 μB per formula unit
Energy relative to the elements: -0.585 eV/atom
Space-group type: R-3m, No. 166
Fermi-level density of states: 1.259 states/eV/atom

```
data_AcPrGe2
_symmetry_space_group_name_H-M 'P 1'
_symmetry_Int_Tables_number 1
_cell_length_a 4.484
_cell_length_b 4.484
_cell_length_c 21.710
_cell_angle_alpha 90.00
_cell_angle_beta 90.00
_cell_angle_gamma 120.00
loop_
_symmetry_equiv_pos_as_xyz
'x,y,z'
loop_
_atom_site_label
_atom_site_fract_x
_atom_site_fract_y
_atom_site_fract_z
_atom_site_occupancy
Ac1 0.000 0.000 0.000 1
Ac2 0.333 0.667 0.667 1
Ac3 0.667 0.333 0.333 1
Pr1 0.000 0.000 0.500 1
Pr2 0.333 0.667 0.167 1
Pr3 0.667 0.333 0.833 1
Ge1 0.000 0.000 0.243 1
Ge2 0.000 0.000 0.757 1
Ge3 0.333 0.667 0.424 1
Ge4 0.333 0.667 0.909 1
Ge5 0.667 0.333 0.091 1
Ge6 0.667 0.333 0.576 1
```


(3)
A relaxed AcPr3Ge2 crystal, computed with PBE-GGA.

Results
Magnetization: 0.00 μB per formula unit
Energy relative to the elements: -0.533 eV/atom
Space-group type: C2/m, No. 12
Fermi-level density of states: 0.982 states/eV/atom

```
data_AcPr3Ge2
_symmetry_space_group_name_H-M 'P 1'
_symmetry_Int_Tables_number 1
_cell_length_a 9.386
_cell_length_b 9.386
_cell_length_c 9.649
_cell_angle_alpha 113.11
_cell_angle_beta 113.11
_cell_angle_gamma 28.41
loop_
_symmetry_equiv_pos_as_xyz
'x,y,z'
loop_
_atom_site_label
_atom_site_fract_x
_atom_site_fract_y
_atom_site_fract_z
_atom_site_occupancy
Ac1 0.117 0.117 0.136 1
Ac2 0.883 0.883 0.864 1
Pr1 0.050 0.050 0.693 1
Pr2 0.309 0.309 0.117 1
Pr3 0.349 0.349 0.524 1
Pr4 0.651 0.651 0.476 1
Pr5 0.691 0.691 0.883 1
Pr6 0.950 0.950 0.307 1
Ge1 0.233 0.233 0.705 1
Ge2 0.490 0.490 0.134 1
Ge3 0.510 0.510 0.866 1
Ge4 0.767 0.767 0.295 1
```


(4)
A relaxed Ac5PrGe3 crystal, computed with PBE-GGA.

Results
Magnetization: 1.42 μB per formula unit
Energy relative to the elements: -0.349 eV/atom
Space-group type: C2/m, No. 12
Fermi-level density of states: 1.133 states/eV/atom

```
data_Ac5PrGe3
_symmetry_space_group_name_H-M 'P 1'
_symmetry_Int_Tables_number 1
_cell_length_a 8.467
_cell_length_b 8.467
_cell_length_c 11.189
_cell_angle_alpha 105.25
_cell_angle_beta 105.25
_cell_angle_gamma 74.84
loop_
_symmetry_equiv_pos_as_xyz
'x,y,z'
loop_
_atom_site_label
_atom_site_fract_x
_atom_site_fract_y
_atom_site_fract_z
_atom_site_occupancy
Ac1 0.024 0.024 0.333 1
Ac2 0.122 0.512 0.362 1
Ac3 0.198 0.802 0.000 1
Ac4 0.257 0.257 0.936 1
Ac5 0.488 0.878 0.638 1
Ac6 0.512 0.122 0.362 1
Ac7 0.743 0.743 0.064 1
Ac8 0.802 0.198 0.000 1
Ac9 0.878 0.488 0.638 1
Ac10 0.976 0.976 0.667 1
Pr1 0.436 0.436 0.721 1
Pr2 0.564 0.564 0.279 1
Ge1 0.172 0.172 0.164 1
Ge2 0.204 0.204 0.595 1
Ge3 0.500 0.500 0.000 1
Ge4 0.500 0.500 0.500 1
Ge5 0.796 0.796 0.405 1
Ge6 0.828 0.828 0.836 1
```


(5)
A relaxed Ac3PrGe2 crystal, computed with PBE-GGA.

Results
Magnetization: 0.00 μB per formula unit
Energy relative to the elements: -0.505 eV/atom
Space-group type: Immm, No. 71
Fermi-level density of states: 1.100 states/eV/atom

```
data_Ac3PrGe2
_symmetry_space_group_name_H-M 'P 1'
_symmetry_Int_Tables_number 1
_cell_length_a 4.750
_cell_length_b 4.880
_cell_length_c 17.387
_cell_angle_alpha 90.00
_cell_angle_beta 90.00
_cell_angle_gamma 90.00
loop_
_symmetry_equiv_pos_as_xyz
'x,y,z'
loop_
_atom_site_label
_atom_site_fract_x
_atom_site_fract_y
_atom_site_fract_z
_atom_site_occupancy
Ac1 0.000 0.000 0.000 1
Ac2 0.000 0.500 0.318 1
Ac3 0.000 0.500 0.682 1
Ac4 0.500 0.000 0.182 1
Ac5 0.500 0.000 0.818 1
Ac6 0.500 0.500 0.500 1
Pr1 0.000 0.000 0.500 1
Pr2 0.500 0.500 0.000 1
Ge1 0.000 0.500 0.131 1
Ge2 0.000 0.500 0.869 1
Ge3 0.500 0.000 0.369 1
Ge4 0.500 0.000 0.631 1
```


(6)
A relaxed Ac12PrGe7 crystal, computed with PBE-GGA.

Results
Magnetization: 0.01 μB per formula unit
Energy relative to the elements: -0.414 eV/atom
Space-group type: R-3, No. 148
Fermi-level density of states: 1.160 states/eV/atom

```
data_Ac12PrGe7
_symmetry_space_group_name_H-M 'P 1'
_symmetry_Int_Tables_number 1
_cell_length_a 9.964
_cell_length_b 9.964
_cell_length_c 9.964
_cell_angle_alpha 107.60
_cell_angle_beta 107.60
_cell_angle_gamma 107.60
loop_
_symmetry_equiv_pos_as_xyz
'x,y,z'
loop_
_atom_site_label
_atom_site_fract_x
_atom_site_fract_y
_atom_site_fract_z
_atom_site_occupancy
Ac1 0.041 0.119 0.346 1
Ac2 0.119 0.346 0.041 1
Ac3 0.193 0.574 0.726 1
Ac4 0.274 0.807 0.426 1
Ac5 0.346 0.041 0.119 1
Ac6 0.426 0.274 0.807 1
Ac7 0.574 0.726 0.193 1
Ac8 0.654 0.959 0.881 1
Ac9 0.726 0.193 0.574 1
Ac10 0.807 0.426 0.274 1
Ac11 0.881 0.654 0.959 1
Ac12 0.959 0.881 0.654 1
Pr1 0.500 0.500 0.500 1
Ge1 0.000 0.000 0.000 1
Ge2 0.154 0.462 0.384 1
Ge3 0.384 0.154 0.462 1
Ge4 0.462 0.384 0.154 1
Ge5 0.538 0.616 0.846 1
Ge6 0.616 0.846 0.538 1
Ge7 0.846 0.538 0.616 1
```


(7)
A relaxed Ac2PrGe crystal, computed with PBE-GGA.

Results
Magnetization: 0.00 μB per formula unit
Energy relative to the elements: -0.009 eV/atom
Space-group type: Fm-3m, No. 225
Fermi-level density of states: 1.377 states/eV/atom

```
data_Ac2PrGe
_symmetry_space_group_name_H-M 'P 1'
_symmetry_Int_Tables_number 1
_cell_length_a 8.168
_cell_length_b 8.168
_cell_length_c 8.168
_cell_angle_alpha 90.00
_cell_angle_beta 90.00
_cell_angle_gamma 90.00
loop_
_symmetry_equiv_pos_as_xyz
'x,y,z'
loop_
_atom_site_label
_atom_site_fract_x
_atom_site_fract_y
_atom_site_fract_z
_atom_site_occupancy
Ac1 0.250 0.250 0.250 1
Ac2 0.250 0.250 0.750 1
Ac3 0.250 0.750 0.250 1
Ac4 0.250 0.750 0.750 1
Ac5 0.750 0.250 0.250 1
Ac6 0.750 0.250 0.750 1
Ac7 0.750 0.750 0.250 1
Ac8 0.750 0.750 0.750 1
Pr1 0.000 0.000 0.000 1
Pr2 0.000 0.500 0.500 1
Pr3 0.500 0.000 0.500 1
Pr4 0.500 0.500 0.000 1
Ge1 0.000 0.000 0.500 1
Ge2 0.000 0.500 0.000 1
Ge3 0.500 0.000 0.000 1
Ge4 0.500 0.500 0.500 1
```


(8)
A relaxed Ac3PrGe6 crystal, computed with PBE-GGA.

Results
Magnetization: 0.00 μB per formula unit
Energy relative to the elements: -0.618 eV/atom
Space-group type: R-3c, No. 167
Fermi-level density of states: 0.683 states/eV/atom

```
data_Ac3PrGe6
_symmetry_space_group_name_H-M 'P 1'
_symmetry_Int_Tables_number 1
_cell_length_a 8.285
_cell_length_b 8.285
_cell_length_c 8.285
_cell_angle_alpha 98.38
_cell_angle_beta 98.38
_cell_angle_gamma 98.38
loop_
_symmetry_equiv_pos_as_xyz
'x,y,z'
loop_
_atom_site_label
_atom_site_fract_x
_atom_site_fract_y
_atom_site_fract_z
_atom_site_occupancy
Ac1 0.185 0.750 0.315 1
Ac2 0.250 0.685 0.815 1
Ac3 0.315 0.185 0.750 1
Ac4 0.685 0.815 0.250 1
Ac5 0.750 0.315 0.185 1
Ac6 0.815 0.250 0.685 1
Pr1 0.000 0.000 0.000 1
Pr2 0.500 0.500 0.500 1
Ge1 0.015 0.090 0.384 1
Ge2 0.090 0.384 0.015 1
Ge3 0.116 0.410 0.485 1
Ge4 0.384 0.015 0.090 1
Ge5 0.410 0.485 0.116 1
Ge6 0.485 0.116 0.410 1
Ge7 0.515 0.884 0.590 1
Ge8 0.590 0.515 0.884 1
Ge9 0.616 0.985 0.910 1
Ge10 0.884 0.590 0.515 1
Ge11 0.910 0.616 0.985 1
Ge12 0.985 0.910 0.616 1
```


no.,total DFT energy (no corrections) (eV/cell)
1,-58.4
2,-61.4
3,-61.8
4,-84.6
5,-58.7
6,-94.7
7,-70.6
8,-102.0